Y3Cu3Ir: relaxed, PBE.

a b c (Å): 5.423 5.423 15.006
angles (deg): 104.98 104.98 43.08
Sites, in units of the cell vectors:
1 Y 0.032 0.032 0.389
2 Y 0.108 0.108 0.924
3 Y 0.245 0.245 0.238
4 Y 0.755 0.755 0.762
5 Y 0.892 0.892 0.076
6 Y 0.968 0.968 0.611
7 Cu 0.360 0.360 0.467
8 Cu 0.399 0.399 0.924
9 Cu 0.471 0.471 0.774
10 Cu 0.529 0.529 0.226
11 Cu 0.601 0.601 0.076
12 Cu 0.640 0.640 0.533
13 Ir 0.267 0.267 0.626
14 Ir 0.733 0.733 0.374

Properties
Calculated formation energy: -381.1 meV per atom
Total DFT energy (no corrections): -6.173 eV per atom



Zn2BiMoS: relaxed, PBE.

a b c (Å): 4.788 4.788 4.523
angles (deg): 90.00 90.00 90.00
Sites, in units of the cell vectors:
1 Zn 0.000 0.500 0.000
2 Zn 0.500 0.000 0.000
3 Bi 0.000 0.000 0.500
4 Mo 0.500 0.500 0.500
5 S 0.500 0.500 0.000

Properties
ΔE_f (raw): 514 meV/atom
Total DFT energy (no corrections): -3.764 eV per atom



Pm8Dy2Mg: relaxed, PBE.

a b c (Å): 9.502 9.502 8.042
angles (deg): 104.78 104.78 31.14
Sites, in units of the cell vectors:
1 Pm 0.046 0.046 0.223
2 Pm 0.137 0.137 0.682
3 Pm 0.318 0.318 0.590
4 Pm 0.409 0.409 0.051
5 Pm 0.591 0.591 0.949
6 Pm 0.682 0.682 0.410
7 Pm 0.863 0.863 0.318
8 Pm 0.954 0.954 0.777
9 Dy 0.225 0.225 0.135
10 Dy 0.775 0.775 0.865
11 Mg 0.500 0.500 0.500

Properties
Calculated formation energy: 10.8 meV per atom
Polymorph energy (0 for the lowest one): 0 meV/atom
Total DFT energy (no corrections): -4.426 eV per atom